The following is a PBE-GGA calculation of a relaxed Pm3Pr8Th crystal, from Alexandria via LeMat-Bulk.

```
Pm3Pr8Th
1.0
-3.335 5.781 5.907
3.335 -5.781 5.907
3.335 5.781 -5.907
Pm Pr Th
3 8 1
Direct
0.000 0.000 0.000
0.273 0.773 0.500
0.727 0.227 0.500
0.088 0.250 0.835
0.235 0.244 0.500
0.256 0.756 0.990
0.415 0.253 0.165
0.585 0.750 0.838
0.744 0.734 0.500
0.765 0.266 0.010
0.912 0.747 0.162
0.500 0.500 0.000
```

Output
Magnetization: 0.00 μB per cell
Calculated total energy: -4.663 eV per atom
SG: I222 (23)
Energy relative to the elements: 31.8 kJ/mol of atoms


The following is a PBE-GGA calculation of a relaxed BaCdSe2 crystal, from Alexandria via LeMat-Bulk.

```
BaCdSe2
1.0
5.120 0.000 0.000
-2.560 4.434 0.000
0.000 0.000 23.814
Ba Cd Se
3 3 6
Direct
0.000 0.000 0.000
0.333 0.667 0.667
0.667 0.333 0.333
0.000 0.000 0.500
0.333 0.667 0.167
0.667 0.333 0.833
0.000 0.000 0.397
0.000 0.000 0.603
0.333 0.667 0.064
0.333 0.667 0.270
0.667 0.333 0.730
0.667 0.333 0.936
```

Output
E_form (uncorrected): -1147 meV/atom
Magnetization: 0.00 μB per cell
Calculated total energy: -3.598 eV per atom
SG: R-3m (166)


The following is a PBE-GGA calculation of a relaxed Th8GeAs4P3 crystal, from Alexandria via LeMat-Bulk.

```
Th8GeAs4P3
1.0
4.213 2.432 6.913
-4.213 2.432 6.913
0.000 -4.865 6.913
Th Ge As P
8 1 4 3
Direct
0.242 0.749 0.749
0.246 0.246 0.246
0.251 0.251 0.758
0.251 0.758 0.251
0.749 0.242 0.749
0.749 0.749 0.242
0.754 0.754 0.754
0.758 0.251 0.251
0.500 0.500 0.500
0.000 0.000 0.000
0.000 0.500 0.500
0.500 0.000 0.500
0.500 0.500 0.000
0.000 0.000 0.500
0.000 0.500 0.000
0.500 0.000 0.000
```

Output
Magnetization: 0.00 μB per cell
Calculated total energy: -7.553 eV per atom
SG: R-3m (166)
Energy relative to the elements: -132.9 kJ/mol of atoms


Please write out number 1 again, unchanged.
The following is a PBE-GGA calculation of a relaxed Pm3Pr8Th crystal, from Alexandria via LeMat-Bulk.

```
Pm3Pr8Th
1.0
-3.335 5.781 5.907
3.335 -5.781 5.907
3.335 5.781 -5.907
Pm Pr Th
3 8 1
Direct
0.000 0.000 0.000
0.273 0.773 0.500
0.727 0.227 0.500
0.088 0.250 0.835
0.235 0.244 0.500
0.256 0.756 0.990
0.415 0.253 0.165
0.585 0.750 0.838
0.744 0.734 0.500
0.765 0.266 0.010
0.912 0.747 0.162
0.500 0.500 0.000
```

Output
Magnetization: 0.00 μB per cell
Calculated total energy: -4.663 eV per atom
SG: I222 (23)
Energy relative to the elements: 31.8 kJ/mol of atoms


Q: Which of these has the lowest calculated total energy?
A: Th8GeAs4P3


Q: Which of these has the highest calculated total energy?
A: BaCdSe2